[1]
Computed, not measured: crystalline Be6Co7 at its relaxed geometry at the GGA-PBE level of DFT.

The calculation puts the formation energy at 0.15 eV per atom.

The space group is R-3m (No. 166, hexagonal axes) and the conventional cell measures 4.5319, 4.5319 and 22.7592 Å, with angles of 90.00, 90.00 and 120.00 degrees. Symmetry generates all atoms from Be at (0.0000, 0.0000, 0.0552), Be at (0.0000, 0.0000, 0.1545), Be at (0.0000, 0.0000, 0.3352), Co at (0.0000, 0.0000, 0.5000) and Co at (0.0049, 0.5025, 0.9163).



[2]
Computed, not measured: crystalline BeCo2 at its relaxed geometry at the GGA-PBE level of DFT.

The calculation puts the formation energy at -0.14 eV per atom.

The space group is P-62m (No. 189) and the conventional cell measures 6.3671, 6.3671 and 2.4687 Å, with angles of 90.00, 90.00 and 120.00 degrees. Symmetry generates all atoms from Be at (0.0000, 0.0000, 0.0000), Be at (0.3333, 0.6667, 0.5000), Co at (0.0000, 0.2951, 0.5000) and Co at (0.0000, 0.6303, 0.0000).



[3]
Computed, not measured: crystalline BeCo at its relaxed geometry at the GGA-PBE level of DFT.

The calculation puts the formation energy at 0.11 eV per atom.

The space group is Fddd (No. 70, origin choice 2) and the conventional cell measures 5.476, 6.642 and 8.283 Å, with angles of 90.00, 90.00 and 90.00 degrees. Symmetry generates all atoms from Be at (0.061, 0.375, 0.375) and Co at (0.125, 0.324, 0.625).



[4]
Computed, not measured: crystalline BeCo at its relaxed geometry at the GGA-PBE level of DFT.

The calculation puts the formation energy at 0.12 eV per atom.

The space group is P6_3/mmc (No. 194) and the conventional cell measures 3.7965, 3.7965 and 6.4069 Å, with angles of 90.00, 90.00 and 120.00 degrees. Symmetry generates all atoms from Be at (0.3333, 0.6667, 0.0849), Co at (0.0000, 0.0000, 0.2500) and Co at (0.3333, 0.6667, 0.7500).



[5]
Computed, not measured: crystalline BeCo at its relaxed geometry at the GGA-PBE level of DFT.

The calculation puts the formation energy at -0.16 eV per atom.

The space group is C2/m (No. 12) and the conventional cell measures 8.220, 2.609 and 5.350 Å, with angles of 90.00, 110.83 and 90.00 degrees. Symmetry generates all atoms from Be at (0.000, 0.000, 0.000), Be at (0.157, 0.500, 0.843), Co at (0.000, 0.000, 0.500) and Co at (0.173, 0.500, 0.305).



[6]
Computed, not measured: crystalline BeCo2 at its relaxed geometry at the GGA-PBE level of DFT.

The calculation puts the formation energy at 0.04 eV per atom.

The space group is I4_1/amd (No. 141, origin choice 2) and the conventional cell measures 2.450, 2.450 and 19.929 Å, with angles of 90.00, 90.00 and 90.00 degrees. Symmetry generates all atoms from Be at (0.000, 0.250, 0.375) and Co at (0.000, 0.250, 0.800).



[7]
Computed, not measured: crystalline BeCo2 at its relaxed geometry at the GGA-PBE level of DFT.

The calculation puts the formation energy at 0.28 eV per atom.

The space group is Fm-3m (No. 225) and the conventional cell measures 5.036, 5.036 and 5.036 Å, with angles of 90.00, 90.00 and 90.00 degrees. Symmetry generates all atoms from Be at (0.000, 0.000, 0.000) and Co at (0.250, 0.250, 0.250).



[8]
Computed, not measured: crystalline BeCo3 at its relaxed geometry at the GGA-PBE level of DFT.

The calculation puts the formation energy at -0.01 eV per atom.

The space group is R-3m (No. 166, hexagonal axes) and the conventional cell measures 7.6433, 7.6433 and 2.4212 Å, with angles of 90.00, 90.00 and 120.00 degrees. Symmetry generates all atoms from Be at (0.0000, 0.0000, 0.0000) and Co at (0.0000, 0.5000, 0.0000).



[9]
Computed, not measured: crystalline BeCo8 at its relaxed geometry at the GGA-PBE level of DFT.

The calculation puts the formation energy at -0.01 eV per atom.

The space group is I4/mmm (No. 139) and the conventional cell measures 7.381, 7.381 and 3.477 Å, with angles of 90.00, 90.00 and 90.00 degrees. Symmetry generates all atoms from Be at (0.000, 0.000, 0.000), Co at (0.000, 0.333, 0.000) and Co at (0.166, 0.166, 0.500).



[10]
Computed, not measured: crystalline BeCo at its relaxed geometry at the GGA-PBE level of DFT.

The calculation puts the formation energy at -0.20 eV per atom.

The space group is C2/m (No. 12) and the conventional cell measures 8.204, 2.479 and 3.785 Å, with angles of 90.00, 111.89 and 90.00 degrees. Symmetry generates all atoms from Be at (0.127, 0.000, 0.320) and Co at (0.123, 0.500, 0.815).



[11]
Computed, not measured: crystalline BeCo3 at its relaxed geometry at the GGA-PBE level of DFT.

The calculation puts the formation energy at -0.07 eV per atom.

The space group is Pmmn (No. 59, origin choice 2) and the conventional cell measures 3.952, 4.831 and 4.220 Å, with angles of 90.00, 90.00 and 90.00 degrees. Symmetry generates all atoms from Be at (0.250, 0.250, 0.168), Co at (0.250, 0.502, 0.667) and Co at (0.250, 0.750, 0.153).



[12]
Computed, not measured: crystalline BeCo4 at its relaxed geometry at the GGA-PBE level of DFT.

The value obtained for the energy above the most stable polymorph in this dataset is 0.505 eV/atom. The calculation puts the formation energy at 0.46 eV per atom.

The space group is I4/mmm (No. 139) and the conventional cell measures 3.122, 3.122 and 12.046 Å, with angles of 90.00, 90.00 and 90.00 degrees. Symmetry generates all atoms from Be at (0.000, 0.000, 0.000), Co at (0.000, 0.000, 0.407) and Co at (0.000, 0.500, 0.250).



[13]
Computed, not measured: crystalline BeCo2 at its relaxed geometry at the GGA-PBE level of DFT.

The calculation puts the formation energy at 0.25 eV per atom.

The space group is P6_3/mmc (No. 194) and the conventional cell measures 4.5590, 4.5590 and 7.3253 Å, with angles of 90.00, 90.00 and 120.00 degrees. Symmetry generates all atoms from Be at (0.3333, 0.6667, 0.0719), Co at (0.0000, 0.0000, 0.0000) and Co at (0.1732, 0.3464, 0.7500).



[14]
Computed, not measured: crystalline BeCo2 at its relaxed geometry at the GGA-PBE level of DFT.

The calculation puts the formation energy at 0.02 eV per atom.

The space group is Immm (No. 71) and the conventional cell measures 2.439, 3.954 and 6.270 Å, with angles of 90.00, 90.00 and 90.00 degrees. Symmetry generates all atoms from Be at (0.000, 0.000, 0.000) and Co at (0.000, 0.500, 0.186).



[15]
Computed, not measured: crystalline BeCo at its relaxed geometry at the GGA-PBE level of DFT.

The calculation puts the formation energy at -0.18 eV per atom.

The space group is P4/nmm (No. 129, origin choice 2) and the conventional cell measures 2.609, 2.609 and 5.298 Å, with angles of 90.00, 90.00 and 90.00 degrees. Symmetry generates all atoms from Be at (0.250, 0.250, 0.113) and Co at (0.250, 0.250, 0.645).



[16]
Computed, not measured: crystalline BeCo4 at its relaxed geometry at the GGA-PBE level of DFT.

The value obtained for the energy above the most stable polymorph in this dataset is 0.000 eV/atom. The calculation puts the formation energy at -0.04 eV per atom.

The space group is I4/m (No. 87) and the conventional cell measures 5.490, 5.490 and 3.408 Å, with angles of 90.00, 90.00 and 90.00 degrees. Symmetry generates all atoms from Be at (0.000, 0.000, 0.000) and Co at (0.097, 0.704, 0.500).



[17]
Computed, not measured: crystalline BeCo2 at its relaxed geometry at the GGA-PBE level of DFT.

The calculation puts the formation energy at -0.06 eV per atom.

The space group is Cmcm (No. 63) and the conventional cell measures 2.462, 12.041 and 3.949 Å, with angles of 90.00, 90.00 and 90.00 degrees. Symmetry generates all atoms from Be at (0.000, 0.224, 0.250), Co at (0.000, 0.116, 0.750) and Co at (0.000, 0.439, 0.750).



[18]
Computed, not measured: crystalline BeCo5 at its relaxed geometry at the GGA-PBE level of DFT.

The value obtained for the energy above the most stable polymorph in this dataset is 0.018 eV/atom. The calculation puts the formation energy at -0.05 eV per atom.

The space group is P-62m (No. 189) and the conventional cell measures 4.2433, 4.2433 and 3.9910 Å, with angles of 90.00, 90.00 and 120.00 degrees. Symmetry generates all atoms from Be at (0.0000, 0.0000, 0.0000), Co at (0.0000, 0.6770, 0.5000) and Co at (0.3333, 0.6667, 0.0000).



[19]
Computed, not measured: crystalline BeCo at its relaxed geometry at the GGA-PBE level of DFT.

The calculation puts the formation energy at 0.01 eV per atom.

The space group is R-3m (No. 166, hexagonal axes) and the conventional cell measures 2.4164, 2.4164 and 22.8004 Å, with angles of 90.00, 90.00 and 120.00 degrees. Symmetry generates all atoms from Be at (0.0000, 0.0000, 0.1240) and Co at (0.0000, 0.0000, 0.3776).



[20]
Computed, not measured: crystalline BeCo2 at its relaxed geometry at the GGA-PBE level of DFT.

The calculation puts the formation energy at -0.08 eV per atom.

The space group is Cm (No. 8) and the conventional cell measures 8.470, 2.650 and 5.463 Å, with angles of 90.00, 107.10 and 90.00 degrees. Symmetry generates all atoms from Be at (0.000, 0.000, 0.000), Be at (0.184, 0.500, 0.326), Co at (0.022, 0.000, 0.490), Co at (0.166, 0.500, 0.846), Co at (0.342, 0.000, 0.664) and Co at (0.345, 0.000, 0.167).